# Pm2Nd3Y5, optimized geometry, DFT PBE
# Spin magnetization = 0.00 μB per cell
# Energy relative to the lowest polymorph listed for this composition = 0 meV per atom
# Formation energy from the elements = 0.171 eV per atom
# Raw total energy = -217.7 eV/cell
data_Pm2Nd3Y5
_chemical_formula_sum 'Pm8 Nd12 Y20'
_space_group_name_H-M_alt 'C 1 2/c 1'
_space_group_IT_number 15
_cell_length_a 10.807
_cell_length_b 16.570
_cell_length_c 9.314
_cell_angle_alpha 90.00
_cell_angle_beta 125.41
_cell_angle_gamma 90.00
loop_
_space_group_symop_operation_xyz
'x,y,z'
'-x,-y,-z'
'-x,y,-z+1/2'
'x,-y,z+1/2'
'x+1/2,y+1/2,z'
'-x+1/2,-y+1/2,-z'
'-x+1/2,y+1/2,-z+1/2'
'x+1/2,-y+1/2,z+1/2'
loop_
_atom_site_label
_atom_site_type_symbol
_atom_site_fract_x
_atom_site_fract_y
_atom_site_fract_z
Pm1 Pm 0.146 0.123 0.042
Nd1 Nd 0.000 0.272 0.750
Nd2 Nd 0.150 0.376 0.549
Y1 Y 0.000 0.027 0.250
Y2 Y 0.000 0.227 0.250
Y3 Y 0.000 0.474 0.750
Y4 Y 0.249 0.381 0.251

---

# Pm5NdY4, optimized geometry, DFT PBE
# Spin magnetization = 0.00 μB per cell
# Energy relative to the lowest polymorph listed for this composition = 0 meV per atom
# Formation energy from the elements = 0.014 eV per atom
# Raw total energy = -108.5 eV/cell
data_Pm5NdY4
_chemical_formula_sum 'Pm10 Nd2 Y8'
_space_group_name_H-M_alt 'C 1 2/m 1'
_space_group_IT_number 12
_cell_length_a 25.798
_cell_length_b 3.630
_cell_length_c 7.249
_cell_angle_alpha 90.00
_cell_angle_beta 98.08
_cell_angle_gamma 90.00
loop_
_space_group_symop_operation_xyz
'x,y,z'
'-x,-y,-z'
'-x,y,-z'
'x,-y,z'
'x+1/2,y+1/2,z'
'-x+1/2,-y+1/2,-z'
'-x+1/2,y+1/2,-z'
'x+1/2,-y+1/2,z'
loop_
_atom_site_label
_atom_site_type_symbol
_atom_site_fract_x
_atom_site_fract_y
_atom_site_fract_z
Pm1 Pm 0.000 0.000 0.000
Pm2 Pm 0.200 0.000 0.100
Pm3 Pm 0.200 0.000 0.600
Nd1 Nd 0.000 0.000 0.500
Y1 Y 0.100 0.500 0.299
Y2 Y 0.100 0.500 0.800

---

Theoretical density per entry: 5.7 6.1 g cm⁻³